Material: NiO2F
Method: DFT, PBE with a Hubbard U
State: relaxed

```
NiO2F
1.0
2.968 0.000 -0.004
0.000 3.837 0.000
-1.317 -1.013 8.824
F O Ni
2 4 2
direct
0.111 0.186 0.255
0.889 0.814 0.745
0.285 0.264 0.552
0.519 0.634 0.044
0.715 0.736 0.448
0.481 0.366 0.956
0.692 0.223 0.399
0.308 0.777 0.601
```

Calculated values
Total DFT energy (no corrections) = -0.163 Ha/atom
Space group = P-1, No. 2